No. 1
A plane-wave DFT calculation with PBE was carried out for ReTcSe after structural relaxation.

The structure in POSCAR format:
```
ReTcSe
1.0
-1.492 2.005 3.848
1.492 -2.005 3.848
1.492 2.005 -3.848
Re Tc Se
1 1 1
Direct
0.000 0.000 0.000
0.348 0.348 0.000
0.675 0.675 0.000
```

Summary:
density of states at the Fermi level = 2.21 states/eV/f.u.
energy relative to the elements, uncorrected = 47.1 kJ/mol of atoms
magnetization = 0.00 μB/f.u.
space-group type = Imm2
energy above the most stable polymorph in this dataset = 309 meV per atom

***

No. 2
A plane-wave DFT calculation with PBE was carried out for ZrGePb2 after structural relaxation.

The structure in POSCAR format:
```
ZrGePb2
1.0
-4.142 4.142 3.037
4.142 -4.142 3.037
4.142 4.142 -3.037
Zr Ge Pb
2 2 4
Direct
0.000 0.000 0.000
0.750 0.250 0.500
0.250 0.750 0.500
0.500 0.500 0.000
0.138 0.625 0.013
0.375 0.388 0.513
0.612 0.125 0.987
0.875 0.862 0.487
```

Summary:
density of states at the Fermi level = 2.85 states/eV/f.u.
formation enthalpy at 0 K = 272 meV per atom
magnetization = 0.00 μB/f.u.
space-group type = I-42d

***

No. 3
A plane-wave DFT calculation with PBE was carried out for Zn2RhSe after structural relaxation.

The structure in POSCAR format:
```
Zn2RhSe
1.0
3.424 0.000 0.000
0.000 3.424 0.000
0.000 0.000 5.407
Zn Rh Se
2 1 1
Direct
0.000 0.000 0.000
0.500 0.500 0.252
0.000 0.000 0.478
0.500 0.500 0.731
```

Summary:
density of states at the Fermi level = 4.05 states/eV/f.u.
energy relative to the elements, uncorrected = -8.5 kJ/mol of atoms
magnetization = 0.00 μB/f.u.
space-group type = P4mm

***

No. 4
A plane-wave DFT calculation with PBE was carried out for KSc4Se after structural relaxation.

The structure in POSCAR format:
```
KSc4Se
1.0
0.000 4.406 4.406
4.406 0.000 4.406
4.406 4.406 0.000
K Sc Se
1 4 1
Direct
0.000 0.000 0.000
0.125 0.625 0.625
0.625 0.125 0.625
0.625 0.625 0.125
0.625 0.625 0.625
0.250 0.250 0.250
```

Summary:
density of states at the Fermi level = 9.17 states/eV/f.u.
energy relative to the elements, uncorrected = 39.4 kJ/mol of atoms
magnetization = 0.01 μB/f.u.
space-group type = F-43m

***

No. 5
A plane-wave DFT calculation with PBE was carried out for Te2CS after structural relaxation.

The structure in POSCAR format:
```
Te2CS
1.0
1.766 1.019 8.058
-1.766 1.019 8.058
0.000 -2.039 8.058
Te C S
2 1 1
Direct
0.104 0.104 0.104
0.896 0.896 0.896
0.500 0.500 0.500
0.000 0.000 0.000
```

Summary:
density of states at the Fermi level = 1.85 states/eV/f.u.
energy relative to the elements, uncorrected = 118.8 kJ/mol of atoms
magnetization = 0.00 μB/f.u.
space-group type = R-3m
energy above the most stable polymorph in this dataset = 185 meV per atom

***

No. 6
A plane-wave DFT calculation with PBE was carried out for Li2AcIn after structural relaxation.

The structure in POSCAR format:
```
Li2AcIn
1.0
5.148 0.000 0.000
0.000 5.148 0.000
0.000 0.000 4.062
Li Ac In
2 1 1
Direct
0.000 0.500 0.000
0.500 0.000 0.000
0.000 0.000 0.500
0.500 0.500 0.500
```

Summary:
density of states at the Fermi level = 3.55 states/eV/f.u.
formation enthalpy at 0 K = -51 meV per atom
magnetization = 0.00 μB/f.u.
space-group type = P4/mmm
energy above the most stable polymorph in this dataset = 201 meV per atom

***

No. 7
A plane-wave DFT calculation with PBE was carried out for Ho6Bi2Te after structural relaxation.

The structure in POSCAR format:
```
Ho6Bi2Te
1.0
6.538 0.000 0.000
0.000 8.164 0.000
-6.207 0.000 10.282
Ho Bi Te
12 4 2
Direct
0.071 0.203 0.447
0.071 0.297 0.947
0.309 0.658 0.447
0.309 0.842 0.947
0.363 0.031 0.221
0.363 0.469 0.721
0.637 0.531 0.279
0.637 0.969 0.779
0.691 0.158 0.053
0.691 0.342 0.553
0.929 0.703 0.053
0.929 0.797 0.553
0.155 0.120 0.739
0.155 0.380 0.239
0.845 0.620 0.761
0.845 0.880 0.261
0.500 0.000 0.500
0.500 0.500 0.000
```

Summary:
density of states at the Fermi level = 9.27 states/eV/f.u.
energy relative to the elements, uncorrected = -56.8 kJ/mol of atoms
magnetization = 0.00 μB/f.u.
space-group type = P2_1/c

***

No. 8
A plane-wave DFT calculation with PBE was carried out for MgPaAgIr after structural relaxation.

The structure in POSCAR format:
```
MgPaAgIr
1.0
0.000 3.419 3.419
3.419 0.000 3.419
3.419 3.419 0.000
Mg Pa Ag Ir
1 1 1 1
Direct
0.000 0.000 0.000
0.500 0.500 0.500
0.750 0.750 0.750
0.250 0.250 0.250
```

Summary:
density of states at the Fermi level = 2.33 states/eV/f.u.
formation enthalpy at 0 K = -257 meV per atom
magnetization = 0.00 μB/f.u.
space-group type = F-43m

***

No. 9
A plane-wave DFT calculation with PBE was carried out for KSr2Re after structural relaxation.

The structure in POSCAR format:
```
KSr2Re
1.0
3.698 0.000 0.000
0.000 3.698 0.000
0.000 0.000 11.442
K Sr Re
1 2 1
Direct
0.000 0.000 0.000
0.500 0.500 0.337
0.500 0.500 0.663
0.000 0.000 0.500
```

Summary:
density of states at the Fermi level = 3.63 states/eV/f.u.
formation enthalpy at 0 K = 820 meV per atom
magnetization = 1.55 μB/f.u.
space-group type = P4/mmm
energy above the most stable polymorph in this dataset = 0 meV per atom

***

No. 10
A plane-wave DFT calculation with PBE was carried out for LaNbCd2 after structural relaxation.

The structure in POSCAR format:
```
LaNbCd2
1.0
0.000 3.660 3.660
3.660 0.000 3.660
3.660 3.660 0.000
La Nb Cd
1 1 2
Direct
0.000 0.000 0.000
0.500 0.500 0.500
0.250 0.250 0.250
0.750 0.750 0.750
```

Summary:
density of states at the Fermi level = 2.34 states/eV/f.u.
formation enthalpy at 0 K = 237 meV per atom
magnetization = 0.00 μB/f.u.
space-group type = Fm-3m
energy above the most stable polymorph in this dataset = 0 meV per atom

***

No. 11
A plane-wave DFT calculation with PBE was carried out for KMnRh2 after structural relaxation.

The structure in POSCAR format:
```
KMnRh2
1.0
1.474 0.851 9.340
-1.474 0.851 9.340
0.000 -1.702 9.340
K Mn Rh
1 1 2
Direct
0.000 0.000 0.000
0.500 0.500 0.500
0.234 0.234 0.234
0.766 0.766 0.766
```

Summary:
density of states at the Fermi level = 5.10 states/eV/f.u.
formation enthalpy at 0 K = 375 meV per atom
magnetization = 4.19 μB/f.u.
space-group type = R-3m
energy above the most stable polymorph in this dataset = 107 meV per atom

***

No. 12
A plane-wave DFT calculation with PBE was carried out for Ac2AgAs4Ir3 after structural relaxation.

The structure in POSCAR format:
```
Ac2AgAs4Ir3
1.0
4.525 0.000 0.000
0.000 4.525 0.000
0.000 0.000 10.007
Ac Ag As Ir
2 1 4 3
Direct
0.000 0.500 0.245
0.500 0.000 0.755
0.000 0.000 0.500
0.000 0.000 0.000
0.000 0.500 0.640
0.500 0.000 0.360
0.500 0.500 0.000
0.000 0.500 0.891
0.500 0.000 0.109
0.500 0.500 0.500
```

Summary:
density of states at the Fermi level = 5.25 states/eV/f.u.
formation enthalpy at 0 K = -695 meV per atom
magnetization = 0.00 μB/f.u.
space-group type = P-4m2